First-principles (PBE-GGA) data for an optimized crystal structure of BAsRh2, as listed in the Alexandria database.

- Size of the total moment: 0.00 Bohr magnetons per cell
- Formation energy from the elements: -108 meV per atom
- Space group: I-42d, No. 122
- Polymorph energy (0 for the lowest one): 0 meV per atom

```
BAsRh2
1.0
5.090 0.000 0.000
0.000 5.090 0.000
2.545 2.545 5.009
Rh B As
4 2 2
Cartesian
3.817 4.144 3.757
3.490 1.272 1.252
1.599 3.817 1.252
6.362 6.035 3.757
2.545 5.090 2.505
2.545 2.545 0.000
0.000 0.000 0.000
5.090 2.545 2.505
```